Material: BaSrHfCu2
Method: DFT, PBE
State: relaxed

Cell: 5.241 5.885 5.241 Å, 90.00 90.00 90.00°
Each line ends with the local moment (μB).
Positions (direct):
Sr1 0.000 0.500 0.000  0.07
Hf1 0.500 0.500 0.500  0.77
Ba1 0.000 0.000 0.000  0.01
Cu1 0.000 0.000 0.500  0.01
Cu2 0.500 0.000 0.000  0.01

Results
calculated formation energy: 152.81 kJ/mol of atoms
symmetry: P4/mmm (123)

---

Material: BeTcIr2
Method: DFT, PBE
State: relaxed

Cell: 4.709 4.709 4.709 Å, 133.71 133.71 67.54°
Positions (direct):
Be1 0.750 0.250 0.500
Ir1 0.000 0.000 0.000
Ir2 0.250 0.750 0.500
Tc1 0.500 0.500 0.000

Results
calculated formation energy: -6.85 kJ/mol of atoms
symmetry: I-4m2 (119)

---

Material: TiAlFe2
Method: DFT, PBE
State: relaxed

Cell: 2.949 4.088 4.088 Å, 90.00 90.00 90.00°
Each line ends with the local moment (μB).
Positions (direct):
Al1 0.500 0.000 0.000  -0.02
Fe1 0.000 0.000 0.500  0.46
Fe2 0.000 0.500 0.000  0.46
Ti1 0.500 0.500 0.500  -0.17

Results
calculated formation energy: -39.93 kJ/mol of atoms
symmetry: P4/mmm (123)

---

Material: TiReN3
Method: DFT, PBE
State: relaxed

Cell: 3.654 3.654 4.837 Å, 90.00 90.00 90.00°
Positions (direct):
Re1 0.000 0.000 0.181
N1 0.000 0.000 0.821
N2 0.500 0.000 0.358
N3 0.000 0.500 0.358
Ti1 0.500 0.500 0.545

Results
formation energy from raw total energies: -14.78 kJ per mole of atoms
symmetry: P4mm (99)